First-principles (GGA-PBE) data for crystalline SrAc3Cd8 at its relaxed geometry, as listed in Alexandria via LeMat-Bulk.

Lattice parameters (Å, degrees): 6.3055 6.3055 9.8803 90.00 90.00 120.00
Space group P3m1 (No. 156)
Inequivalent atoms, fractional coordinates:
Sr 0.0000 0.0000 0.0000 (multiplicity 1)
Ac 0.0000 0.0000 0.3839 (multiplicity 1)
Ac 0.6667 0.3333 0.4947 (multiplicity 1)
Ac 0.6667 0.3333 0.8783 (multiplicity 1)
Cd 0.1653 0.3306 0.6898 (multiplicity 3)
Cd 0.3333 0.6667 0.4376 (multiplicity 1)
Cd 0.3333 0.6667 0.9382 (multiplicity 1)
Cd 0.5014 0.0027 0.1875 (multiplicity 3)

total energy	-24.86	eV/f.u.

=====

First-principles (GGA-PBE) data for crystalline Sr2AcCd6 at its relaxed geometry, as listed in Alexandria via LeMat-Bulk.

Lattice parameters (Å, degrees): 8.8522 8.8522 3.9880 90.00 90.00 120.00
Space group P6/mmm (No. 191)
Inequivalent atoms, fractional coordinates:
Sr 0.3333 0.6667 0.0000 (multiplicity 2)
Ac 0.0000 0.0000 0.0000 (multiplicity 1)
Cd 0.0000 0.3353 0.5000 (multiplicity 6)

total energy	-15.98	eV/f.u.

=====

First-principles (GGA-PBE) data for crystalline SrAcCd at its relaxed geometry, as listed in Alexandria via LeMat-Bulk.

Lattice parameters (Å, degrees): 4.059 4.059 14.333 90.00 90.00 90.00
Space group I4mm (No. 107)
Inequivalent atoms, fractional coordinates:
Sr 0.000 0.000 0.000 (multiplicity 2)
Ac 0.000 0.000 0.278 (multiplicity 2)
Cd 0.000 0.000 0.642 (multiplicity 2)

total energy	-7.24	eV/f.u.
excess energy over the best structure of this formula in the dataset	0.7	kJ per mole of atoms